Entry 1:
First-principles (PBE-GGA) data for a relaxed structure of TmTh2Mn, as listed in Alexandria.

It has space group Pnma (No. 62), with a = 7.036 Å, b = 9.628 Å, c = 6.184 Å, α = 90.00°, β = 90.00° and γ = 90.00°. Symmetry generates all atoms from Tm at (0.050, 0.250, 0.151), Th at (0.167, 0.067, 0.674) and Mn at (0.104, 0.750, 0.407).

As for the energy of formation: 0.061 eV/atom. The calculation puts the relative energy among the computed polymorphs at 0 meV/atom. The total magnetic moment is 0.0 μB/cell.

Entry 2:
First-principles (PBE-GGA) data for a relaxed structure of Tm2ThMn, as listed in Alexandria.

It has space group R-3m (No. 166, hexagonal axes), with a = 3.4064 Å, b = 3.4064 Å, c = 33.7476 Å, α = 90.00°, β = 90.00° and γ = 120.00°. Symmetry generates all atoms from Tm at (0.0000, 0.0000, 0.0834), Th at (0.0000, 0.0000, 0.5000) and Mn at (0.0000, 0.0000, 0.0000).

As for the energy of formation: 0.511 eV/atom. The calculation puts the relative energy among the computed polymorphs at 391 meV/atom. The total magnetic moment is 10.3 μB/cell.

Entry 3:
First-principles (PBE-GGA) data for a relaxed structure of TmTh2Mn, as listed in Alexandria.

It has space group P4/mmm (No. 123), with a = 3.565 Å, b = 3.565 Å, c = 8.538 Å, α = 90.00°, β = 90.00° and γ = 90.00°. Symmetry generates all atoms from Tm at (0.000, 0.000, 0.000), Th at (0.500, 0.500, 0.291) and Mn at (0.000, 0.000, 0.500).

As for the energy of formation: 0.155 eV/atom. The calculation puts the relative energy among the computed polymorphs at 94 meV/atom. The total magnetic moment is 3.1 μB/cell.

Entry 4:
First-principles (PBE-GGA) data for a relaxed structure of TmThMn2, as listed in Alexandria.

It has space group P4/mmm (No. 123), with a = 4.931 Å, b = 4.931 Å, c = 3.575 Å, α = 90.00°, β = 90.00° and γ = 90.00°. Symmetry generates all atoms from Tm at (0.000, 0.000, 0.000), Th at (0.500, 0.500, 0.000) and Mn at (0.000, 0.500, 0.500).

As for the energy of formation: 0.174 eV/atom. The total magnetic moment is 5.6 μB/cell.

Entry 5:
First-principles (PBE-GGA) data for a relaxed structure of TmTh2Mn, as listed in Alexandria.

It has space group R-3m (No. 166, hexagonal axes), with a = 3.7582 Å, b = 3.7582 Å, c = 26.9304 Å, α = 90.00°, β = 90.00° and γ = 120.00°. Symmetry generates all atoms from Tm at (0.0000, 0.0000, 0.0000), Th at (0.0000, 0.0000, 0.2260) and Mn at (0.0000, 0.0000, 0.5000).

As for the energy of formation: 0.222 eV/atom. The calculation puts the relative energy among the computed polymorphs at 161 meV/atom. The total magnetic moment is 0.0 μB/cell.

Entry 6:
First-principles (PBE-GGA) data for a relaxed structure of Tm2ThMn, as listed in Alexandria.

It has space group P4/mmm (No. 123), with a = 3.462 Å, b = 3.462 Å, c = 8.723 Å, α = 90.00°, β = 90.00° and γ = 90.00°. Symmetry generates all atoms from Tm at (0.000, 0.000, 0.199), Th at (0.500, 0.500, 0.500) and Mn at (0.500, 0.500, 0.000).

As for the energy of formation: 0.120 eV/atom. The calculation puts the relative energy among the computed polymorphs at 0 meV/atom. The total magnetic moment is 2.9 μB/cell.

Entry 7:
First-principles (PBE-GGA) data for a relaxed structure of TmThMnZn, as listed in Alexandria.

It has space group F-43m (No. 216), with a = 7.106 Å, b = 7.106 Å, c = 7.106 Å, α = 90.00°, β = 90.00° and γ = 90.00°. Symmetry generates all atoms from Tm at (0.000, 0.000, 0.000), Th at (0.000, 0.000, 0.500), Mn at (0.250, 0.250, 0.250) and Zn at (0.250, 0.250, 0.750).

As for the energy of formation: -0.018 eV/atom. The total magnetic moment is 9.1 μB/cell.

Entry 8:
First-principles (PBE-GGA) data for a relaxed structure of ThUMn2, as listed in Alexandria.

It has space group Pnma (No. 62), with a = 7.438 Å, b = 4.347 Å, c = 9.692 Å, α = 90.00°, β = 90.00° and γ = 90.00°. Symmetry generates all atoms from Th at (0.109, 0.250, 0.128), U at (0.048, 0.250, 0.620), Mn at (0.178, 0.250, 0.814) and Mn at (0.192, 0.250, 0.429).

As for the energy of formation: -0.058 eV/atom. The total magnetic moment is 0.0 μB/cell.

Number 1: total energy -7.06 eV per atom. Number 2: total energy -5.87 eV per atom. Number 3: total energy -6.97 eV per atom. Number 4: total energy -7.38 eV per atom. Number 5: total energy -6.90 eV per atom. Number 6: total energy -6.26 eV per atom. Number 7: total energy -5.60 eV per atom. Number 8: total energy -9.32 eV per atom.